First-principles (PBE+U) data for Pu2NiPdO8 after structural relaxation, as listed in the Alexandria database.

Computed properties:
VASP energy	-8.00	eV/atom
crystal system	tetragonal
size of the total moment	0.6614	μB/atom

Unit cell a=6.614 b=6.614 c=7.275 alpha=90.00 beta=90.00 gamma=90.00
Space group I-4m2 (No. 119)
One atom of each set of equivalent atoms:
Pu: 0.000 0.000 0.000 x2
Pu: 0.000 0.500 0.250 x2
Ni: 0.000 0.000 0.500 x2
Pd: 0.000 0.500 0.750 x2
O: 0.000 0.191 0.293 x8
O: 0.000 0.311 0.966 x8